The following is a DFT calculation (PBE) of a relaxed structure of Sc2InTe.

Summary:
ΔE to the lowest computed polymorph = 232 meV/atom
Space group = Fm-3m
N(E_F) = 1.3824 states/eV per atom
E_form (uncorrected) = -10.5 kcal/mol of atoms
Total magnetization = 0.00 μB/atom
Uncorrected energy = -5.09 eV/atom

Cell lengths 5.1177, 5.1177, 5.1177 Å; angles 60.00, 60.00, 60.00 degrees
Element x y z (fractional)
1 Te 0.5000 0.5000 0.5000
2 In 0.0000 0.0000 0.0000
3 Sc 0.2500 0.2500 0.2500
4 Sc 0.7500 0.7500 0.7500